# 1
Below is a geometry-optimized SrCo2Hg2 structure, with properties calculated at the PBE-GGA level.

Properties
V: 214 Å³ per cell
formation energy from the elements: 14 kJ/mol of atoms
SG: No. 139
ΔE to the lowest computed polymorph: 0.000 eV per atom

Cell: 3.4457 3.4457 17.9864 Å, 90.00 90.00 90.00°
Fractional coordinates of all 10 atoms:
Sr 0.0000 0.0000 0.0000
Sr 0.5000 0.5000 0.5000
Co 0.0000 0.5000 0.2500
Co 0.0000 0.5000 0.7500
Co 0.5000 0.0000 0.2500
Co 0.5000 0.0000 0.7500
Hg 0.0000 0.0000 0.3712
Hg 0.0000 0.0000 0.6288
Hg 0.5000 0.5000 0.1288
Hg 0.5000 0.5000 0.8712


# 2
Below is a geometry-optimized TiTlSb2 structure, with properties calculated at the PBE-GGA level.

Properties
V: 321 Å³ per cell
SG: No. 160
ΔE_f (raw): -0.61 eV per formula unit
ΔE to the lowest computed polymorph: 0.000 eV per atom

Cell: 3.7169 3.7169 26.8167 Å, 90.00 90.00 120.00°
Fractional coordinates of all 12 atoms:
Ti 0.0000 0.0000 0.0000
Ti 0.3333 0.6667 0.6667
Ti 0.6667 0.3333 0.3333
Tl 0.0000 0.0000 0.8341
Tl 0.3333 0.6667 0.5008
Tl 0.6667 0.3333 0.1675
Sb 0.0000 0.0000 0.4006
Sb 0.0000 0.0000 0.5990
Sb 0.3333 0.6667 0.0673
Sb 0.3333 0.6667 0.2657
Sb 0.6667 0.3333 0.7340
Sb 0.6667 0.3333 0.9323